AlHS3 | GGA-PBE | relaxed

a = 4.6276 Å, b = 4.6276 Å, c = 4.6276 Å
α = 90.00°, β = 90.00°, γ = 90.00°
Closest atoms and distances in Å follow each position.
Atoms (fractional coordinates):
Al 0.0000 0.0000 0.0000  6 S 2.31
H 0.5000 0.5000 0.5000  12 S 3.27
S 0.0000 0.0000 0.5000  2 Al 2.31
S 0.0000 0.5000 0.0000  2 Al 2.31
S 0.5000 0.0000 0.0000  2 Al 2.31

Calculated density   2081 kg/m³
Total magnetic moment   2.0 μB per formula unit
Crystal system   cubic
ΔE to the lowest computed polymorph   0.0 kJ/mol of atoms